1.
VASP calculation (PBE) on a relaxed CeTm3Zn8 crystal.

Unit cell a=5.4826 b=5.4826 c=8.7212 alpha=90.00 beta=90.00 gamma=120.00
Space group P3m1 (No. 156)
Asymmetric unit:
Ce1 0.0000 0.0000 0.0000
Tm1 0.0000 0.0000 0.3760
Tm2 0.6667 0.3333 0.5062
Tm3 0.6667 0.3333 0.8867
Zn1 0.1634 0.3269 0.6877
Zn2 0.3333 0.6667 0.4435
Zn3 0.3333 0.6667 0.9426
Zn4 0.5036 0.0072 0.1960

The density of states at the Fermi level comes out at 10.672 states/eV/cell. As for the formation energy: -300 meV/atom.

2.
VASP calculation (PBE) on a relaxed AcCdPt2 crystal.

Unit cell a=4.6867 b=4.6867 c=15.0524 alpha=90.00 beta=90.00 gamma=120.00
Space group R-3m (No. 166, hexagonal axes)
Asymmetric unit:
Ac1 0.0000 0.0000 0.0000
Cd1 0.0000 0.0000 0.5000
Pt1 0.0000 0.0000 0.2115

The density of states at the Fermi level comes out at 5.102 states/eV/cell. As for the formation energy: -808 meV/atom.

3.
VASP calculation (PBE) on a relaxed Y2HfTa crystal.

Unit cell a=7.3656 b=7.3656 c=7.3656 alpha=90.00 beta=90.00 gamma=90.00
Space group Fm-3m (No. 225)
Asymmetric unit:
Y1 0.2500 0.2500 0.2500
Hf1 0.0000 0.0000 0.0000
Ta1 0.0000 0.0000 0.5000

The density of states at the Fermi level comes out at 26.678 states/eV/cell. The value obtained for the distance to the lowest polymorph of the same formula is 0 meV per atom. As for the formation energy: 539 meV/atom.

4.
VASP calculation (PBE) on a relaxed PrY8Sc2 crystal.

Unit cell a=8.8812 b=15.8096 c=5.7752 alpha=90.00 beta=120.61 gamma=90.00
Space group C2/m (No. 12)
Asymmetric unit:
Pr1 0.0000 0.0000 0.0000
Y1 0.0000 0.2108 0.0000
Y2 0.0788 0.5000 0.7912
Y3 0.2162 0.1188 0.6628
Sc1 0.0000 0.3072 0.5000

The density of states at the Fermi level comes out at 36.737 states/eV/cell. The value obtained for the distance to the lowest polymorph of the same formula is 52 meV per atom. As for the formation energy: 175 meV/atom.

5.
VASP calculation (PBE) on a relaxed Nd4SmTm3Se8 crystal.

Unit cell a=8.1893 b=8.1893 c=20.8207 alpha=90.00 beta=90.00 gamma=120.00
Space group R-3m (No. 166, hexagonal axes)
Asymmetric unit:
Nd1 0.0000 0.0000 0.0000
Nd2 0.0000 0.5000 0.0000
Sm1 0.0000 0.0000 0.5000
Tm1 0.0000 0.5000 0.5000
Se1 0.0000 0.0000 0.2430
Se2 0.0072 0.5036 0.7555

For the formation energy from raw total energies, the calculation gives -28.34 eV per formula unit. The density of states at the Fermi level comes out at 25.683 states/eV/cell.

6.
VASP calculation (PBE) on a relaxed BaPaGa2O8 crystal.

Unit cell a=7.2928 b=7.2928 c=7.0883 alpha=90.00 beta=90.00 gamma=90.00
Space group I-4m2 (No. 119)
Asymmetric unit:
Ba1 0.0000 0.0000 0.0000
Pa1 0.0000 0.5000 0.7500
Ga1 0.0000 0.0000 0.5000
Ga2 0.0000 0.5000 0.2500
O1 0.0000 0.2027 0.6696
O2 0.0000 0.3462 0.0459

For the formation energy from raw total energies, the calculation gives -23.43 eV per formula unit. The density of states at the Fermi level comes out at 23.107 states/eV/cell.

7.
VASP calculation (PBE) on a relaxed Tm4TlSn crystal.

Unit cell a=5.3797 b=21.4812 c=6.4145 alpha=90.00 beta=90.00 gamma=90.00
Space group Cmcm (No. 63)
Asymmetric unit:
Tm1 0.0000 0.0639 0.2500
Tm2 0.0000 0.2048 0.0050
Tm3 0.0000 0.3647 0.2500
Tl1 0.0000 0.0741 0.7500
Sn1 0.0000 0.3397 0.7500

The density of states at the Fermi level comes out at 24.884 states/eV/cell. As for the formation energy: -200 meV/atom.

8.
VASP calculation (PBE) on a relaxed ScCo2P3 crystal.

Unit cell a=5.0815 b=5.0815 c=3.5732 alpha=90.00 beta=90.00 gamma=120.00
Space group P6/mmm (No. 191)
Asymmetric unit:
Sc1 0.0000 0.0000 0.0000
Co1 0.3333 0.6667 0.0000
P1 0.0000 0.5000 0.5000

The density of states at the Fermi level comes out at 4.253 states/eV/cell. As for the formation energy: -332 meV/atom.

Please write out number 7 again, unchanged.
VASP calculation (PBE) on a relaxed Tm4TlSn crystal.

Unit cell a=5.3797 b=21.4812 c=6.4145 alpha=90.00 beta=90.00 gamma=90.00
Space group Cmcm (No. 63)
Asymmetric unit:
Tm1 0.0000 0.0639 0.2500
Tm2 0.0000 0.2048 0.0050
Tm3 0.0000 0.3647 0.2500
Tl1 0.0000 0.0741 0.7500
Sn1 0.0000 0.3397 0.7500

The density of states at the Fermi level comes out at 24.884 states/eV/cell. As for the formation energy: -200 meV/atom.